[1]
Ba2LiPbS | the Alexandria database | PBE-GGA | optimized geometry; symmetry = No. 123
1.0
6.272 0.000 0.000
0.000 6.272 0.000
0.000 0.000 4.538
Pb S Ba Li
1 1 2 1
Cartesian
3.136 3.136 2.269 Pb
0.000 0.000 0.000 S
0.000 3.136 0.000 Ba
3.136 0.000 0.000 Ba
0.000 0.000 2.269 Li

[2]
BaLiSb2Pb | the Alexandria database | PBE-GGA | optimized geometry; symmetry = No. 119
1.0
4.736 0.000 0.000
0.000 4.736 0.000
-2.368 -2.368 7.262
Ba Li Sb Pb
1 1 2 1
Cartesian
0.000 0.000 0.000 Ba
0.000 2.368 3.631 Li
2.368 2.368 1.559 Sb
0.000 0.000 5.703 Sb
2.368 0.000 3.631 Pb

[3]
Ba3Li2Sb4Pb2 | the Alexandria database | PBE-GGA | optimized geometry; symmetry = No. 164
1.0
-4.625 1.412 -0.221
2.499 -0.749 -4.077
-5.628 -18.443 -0.060
Ba Li Sb Pb
3 2 4 2
Cartesian
-4.262 -13.970 -0.046 Ba
0.000 0.000 0.000 Ba
-1.365 -4.474 -0.015 Ba
-7.184 -15.479 -1.559 Li
-0.569 -2.301 -2.799 Li
-2.930 -1.536 -1.514 Sb
-4.823 -16.245 -2.845 Sb
-5.893 -11.248 -1.545 Sb
-1.860 -6.532 -2.813 Sb
-4.652 -7.182 -1.532 Pb
-3.101 -10.599 -2.826 Pb

[4]
Ba2LiPbSe | the Alexandria database | PBE-GGA | optimized geometry; symmetry = No. 123; energy relative to the lowest polymorph listed for this composition = 0 meV/atom
1.0
-6.070 1.985 0.596
-1.047 -1.347 -6.183
-1.302 -4.331 1.164
Pb Ba Se Li
1 2 1 1
Cartesian
-4.210 -1.846 -2.212 Pb
-0.524 -0.673 -3.092 Ba
-3.035 0.992 0.298 Ba
0.000 0.000 0.000 Se
-0.651 -2.166 0.582 Li

Going through the records in order, we get ΔE_f (raw) values of -1.008; -0.557; -0.717; -0.936 eV per atom.
Going through the records in order, we get theoretical density values of 4.84; 6.06; 5.63; 4.91 g/cm³.